An optimized crystal structure of SrSc2WO8. Source: the Alexandria database, functional PBE with a Hubbard U.

Lattice parameters (Å, degrees): 4.791 7.120 4.810 90.00 90.17 90.00
Positions (direct):
Sr1 0.000 0.000 0.000
Sc1 0.500 0.289 0.500
Sc2 0.500 0.711 0.500
W1 0.000 0.500 0.000
O1 0.197 0.299 0.809
O2 0.197 0.701 0.809
O3 0.290 0.500 0.295
O4 0.381 0.000 0.397
O5 0.619 0.000 0.603
O6 0.710 0.500 0.705
O7 0.803 0.299 0.191
O8 0.803 0.701 0.191

Volume in Å³/atom: 13.67
Size of the total moment in μB per cell: 0.00
VASP energy in eV per atom: -7.683